[1]
A relaxed MgBe3 crystal, computed with PBE-GGA.

a = 2.6607 Å, b = 2.7800 Å, c = 6.0273 Å
α = 90.00°, β = 90.00°, γ = 90.00°
Atoms (fractional coordinates):
Mg1 0.0000 0.0000 0.0000
Be1 0.0000 0.0000 0.5000
Be2 0.5000 0.5000 0.3127
Be3 0.5000 0.5000 0.6873

Calculated values
The formation energy from the elements comes out at 294 meV/atom.

---

[2]
A relaxed Mg3Be2 crystal, computed with PBE-GGA.

a = 9.8441 Å, b = 6.0964 Å, c = 11.4006 Å
α = 59.65°, β = 32.31°, γ = 88.04°
Atoms (fractional coordinates):
Mg1 0.0000 0.0000 0.0000
Mg2 0.2012 0.7472 0.5807
Mg3 0.2500 0.2500 0.2500
Mg4 0.6693 0.7791 0.0488
Mg5 0.7472 0.2012 0.4709
Mg6 0.7791 0.6693 0.5028
Be1 0.2803 0.6122 0.7758
Be2 0.4742 0.9184 0.9697
Be3 0.6122 0.2803 0.3316
Be4 0.9184 0.4742 0.6378

Calculated values
The formation energy from the elements comes out at 282 meV/atom.

---

[3]
A relaxed Mg3Be crystal, computed with PBE-GGA.

a = 4.9065 Å, b = 4.9065 Å, c = 3.1998 Å
α = 90.00°, β = 90.00°, γ = 101.01°
Atoms (fractional coordinates):
Mg1 0.0000 0.0000 0.0000
Mg2 0.0000 0.5000 0.5000
Mg3 0.5000 0.0000 0.5000
Be1 0.5000 0.5000 0.0000

Calculated values
The formation energy from the elements comes out at 316 meV/atom.

---

[4]
A relaxed Mg2Be crystal, computed with PBE-GGA.

a = 5.2351 Å, b = 5.2351 Å, c = 6.9636 Å
α = 100.54°, β = 100.54°, γ = 35.32°
Atoms (fractional coordinates):
Mg1 0.0000 0.0000 0.0000
Mg2 0.0607 0.0607 0.4728
Mg3 0.3575 0.3575 0.6393
Mg4 0.7586 0.7586 0.2441
Be1 0.2710 0.2710 0.9554
Be2 0.6551 0.6551 0.7877

Calculated values
The formation energy from the elements comes out at 247 meV/atom.

---

[5]
A relaxed Mg3Be2 crystal, computed with PBE-GGA.

a = 4.3082 Å, b = 4.3082 Å, c = 5.3100 Å
α = 90.00°, β = 90.00°, γ = 120.00°
Atoms (fractional coordinates):
Mg1 0.0000 0.0000 0.0000
Mg2 0.3333 0.6667 0.3551
Mg3 0.6667 0.3333 0.6449
Be1 0.3333 0.6667 0.8815
Be2 0.6667 0.3333 0.1185

Calculated values
The formation energy from the elements comes out at 262 meV/atom.

---

[6]
A relaxed Mg3Be crystal, computed with PBE-GGA.

a = 5.5392 Å, b = 5.5392 Å, c = 5.5392 Å
α = 116.97°, β = 116.97°, γ = 116.97°
Atoms (fractional coordinates):
Mg1 0.0000 0.5000 0.5000
Mg2 0.5000 0.0000 0.5000
Mg3 0.5000 0.5000 0.0000
Be1 0.0000 0.0000 0.0000

Calculated values
The formation energy from the elements comes out at 349 meV/atom.

---

[7]
A relaxed Mg2Be crystal, computed with PBE-GGA.

a = 6.4003 Å, b = 6.5198 Å, c = 2.8888 Å
α = 90.00°, β = 90.00°, γ = 90.00°
Atoms (fractional coordinates):
Mg1 0.2299 0.1879 0.0000
Mg2 0.2701 0.6879 0.5000
Mg3 0.7299 0.3121 0.5000
Mg4 0.7701 0.8121 0.0000
Be1 0.0000 0.5000 0.0000
Be2 0.5000 0.0000 0.5000

Calculated values
The formation energy from the elements comes out at 425 meV/atom.

---

[8]
A relaxed MgBe2 crystal, computed with PBE-GGA.

a = 6.3542 Å, b = 6.3230 Å, c = 3.6676 Å
α = 73.65°, β = 72.72°, γ = 33.63°
Atoms (fractional coordinates):
Mg1 0.1709 0.1709 0.8291
Mg2 0.8291 0.8291 0.1709
Be1 0.0000 0.0000 0.5000
Be2 0.4092 0.4092 0.5908
Be3 0.5000 0.5000 0.0000
Be4 0.5908 0.5908 0.4092

Calculated values
The formation energy from the elements comes out at 155 meV/atom.

---

[9]
A relaxed MgBe3 crystal, computed with PBE-GGA.

a = 6.3992 Å, b = 6.3992 Å, c = 3.6421 Å
α = 90.00°, β = 90.00°, γ = 130.31°
Atoms (fractional coordinates):
Mg1 0.1019 0.8981 0.7500
Mg2 0.8981 0.1019 0.2500
Be1 0.0978 0.4967 0.7500
Be2 0.3199 0.6801 0.2500
Be3 0.4967 0.0978 0.2500
Be4 0.5033 0.9022 0.7500
Be5 0.6801 0.3199 0.7500
Be6 0.9022 0.5033 0.2500

Calculated values
The formation energy from the elements comes out at 350 meV/atom.

---

[10]
A relaxed MgBe3 crystal, computed with PBE-GGA.

a = 4.7924 Å, b = 4.7924 Å, c = 4.7924 Å
α = 44.74°, β = 44.74°, γ = 44.74°
Atoms (fractional coordinates):
Mg1 0.0000 0.0000 0.0000
Be1 0.1881 0.1881 0.1881
Be2 0.5000 0.5000 0.5000
Be3 0.8119 0.8119 0.8119

Calculated values
The formation energy from the elements comes out at 149 meV/atom.

---

[11]
A relaxed Mg2Be crystal, computed with PBE-GGA.

a = 5.5232 Å, b = 5.5232 Å, c = 5.5232 Å
α = 60.00°, β = 60.00°, γ = 60.00°
Atoms (fractional coordinates):
Mg1 0.0000 0.0000 0.0000
Mg2 0.0000 0.0000 0.5000
Mg3 0.0000 0.5000 0.0000
Mg4 0.5000 0.0000 0.0000
Be1 0.3750 0.3750 0.3750
Be2 0.6250 0.6250 0.6250

Calculated values
The formation energy from the elements comes out at 736 meV/atom.

---

[12]
A relaxed MgBe2 crystal, computed with PBE-GGA.

a = 4.7232 Å, b = 4.7232 Å, c = 6.2050 Å
α = 93.26°, β = 93.26°, γ = 34.12°
Atoms (fractional coordinates):
Mg1 0.0000 0.0000 0.0000
Mg2 0.2499 0.2499 0.6862
Be1 0.2828 0.2828 0.1930
Be2 0.5179 0.5179 0.6431
Be3 0.6297 0.6297 0.3474
Be4 0.9200 0.9200 0.4031

Calculated values
The formation energy from the elements comes out at 326 meV/atom.

---

[13]
A relaxed MgBe3 crystal, computed with PBE-GGA.

a = 4.3342 Å, b = 4.3342 Å, c = 5.6212 Å
α = 90.00°, β = 90.00°, γ = 120.00°
Atoms (fractional coordinates):
Mg1 0.0000 0.0000 0.0000
Mg2 0.3333 0.6667 0.7282
Be1 0.3333 0.6667 0.2650
Be2 0.3382 0.1691 0.4359
Be3 0.6667 0.3333 0.1182
Be4 0.6667 0.3333 0.7571
Be5 0.8309 0.1691 0.4359
Be6 0.8309 0.6618 0.4359

Calculated values
The formation energy from the elements comes out at 167 meV/atom.

---

[14]
A relaxed MgBe2 crystal, computed with PBE-GGA.

a = 13.4899 Å, b = 13.4899 Å, c = 13.4899 Å
α = 164.78°, β = 164.78°, γ = 21.59°
Atoms (fractional coordinates):
Mg1 0.2995 0.5495 0.7500
Mg2 0.4505 0.7005 0.7500
Mg3 0.5495 0.2995 0.2500
Mg4 0.7005 0.4505 0.2500
Be1 0.0840 0.8340 0.2500
Be2 0.1243 0.3743 0.7500
Be3 0.1660 0.9160 0.2500
Be4 0.3743 0.1243 0.2500
Be5 0.6257 0.8757 0.7500
Be6 0.8340 0.0840 0.7500
Be7 0.8757 0.6257 0.2500
Be8 0.9160 0.1660 0.7500

Calculated values
The formation energy from the elements comes out at 266 meV/atom.

---

[15]
A relaxed Mg2Be crystal, computed with PBE-GGA.

a = 4.7160 Å, b = 4.7160 Å, c = 2.7397 Å
α = 90.00°, β = 90.00°, γ = 120.00°
Atoms (fractional coordinates):
Mg1 0.3333 0.6667 0.0000
Mg2 0.6667 0.3333 0.0000
Be1 0.0000 0.0000 0.5000

Calculated values
The formation energy from the elements comes out at 506 meV/atom.

---

[16]
A relaxed Mg3Be4 crystal, computed with PBE-GGA.

a = 5.3951 Å, b = 5.3951 Å, c = 4.3760 Å
α = 90.00°, β = 90.00°, γ = 120.00°
Atoms (fractional coordinates):
Mg1 0.0000 0.5000 0.0000
Mg2 0.5000 0.0000 0.0000
Mg3 0.5000 0.5000 0.0000
Be1 0.0000 0.0000 0.2490
Be2 0.0000 0.0000 0.7510
Be3 0.3333 0.6667 0.5000
Be4 0.6667 0.3333 0.5000

Calculated values
The formation energy from the elements comes out at 720 meV/atom.

---

[17]
A relaxed Mg3Be crystal, computed with PBE-GGA.

a = 4.6900 Å, b = 5.9418 Å, c = 5.3164 Å
α = 90.00°, β = 90.00°, γ = 90.00°
Atoms (fractional coordinates):
Mg1 0.2500 0.0016 0.1644
Mg2 0.2500 0.2500 0.6297
Mg3 0.2500 0.4984 0.1644
Mg4 0.7500 0.5016 0.8356
Mg5 0.7500 0.7500 0.3703
Mg6 0.7500 0.9984 0.8356
Be1 0.2500 0.7500 0.6947
Be2 0.7500 0.2500 0.3053

Calculated values
The formation energy from the elements comes out at 242 meV/atom.

---

[18]
A relaxed MgBe3 crystal, computed with PBE-GGA.

a = 4.7289 Å, b = 4.7289 Å, c = 4.7289 Å
α = 147.94°, β = 65.10°, γ = 125.00°
Atoms (fractional coordinates):
Mg1 0.0000 0.0000 0.0000
Be1 0.1807 0.4068 0.7739
Be2 0.5137 0.0137 0.5000
Be3 0.6329 0.4068 0.2261

Calculated values
The formation energy from the elements comes out at 405 meV/atom.

---

[19]
A relaxed Mg3Be crystal, computed with PBE-GGA.

a = 3.0617 Å, b = 3.0617 Å, c = 7.9958 Å
α = 90.00°, β = 90.00°, γ = 90.00°
Atoms (fractional coordinates):
Mg1 0.0000 0.0000 0.0000
Mg2 0.5000 0.5000 0.3000
Mg3 0.5000 0.5000 0.7000
Be1 0.0000 0.0000 0.5000

Calculated values
The formation energy from the elements comes out at 195 meV/atom.

---

[20]
A relaxed Mg3Be2 crystal, computed with PBE-GGA.

a = 11.0493 Å, b = 11.0493 Å, c = 11.0493 Å
α = 15.70°, β = 15.70°, γ = 15.70°
Atoms (fractional coordinates):
Mg1 0.0000 0.0000 0.0000
Mg2 0.2082 0.2082 0.2082
Mg3 0.7918 0.7918 0.7918
Be1 0.3965 0.3965 0.3965
Be2 0.6035 0.6035 0.6035

Calculated values
The formation energy from the elements comes out at 472 meV/atom.

---

Mass density, respectively: 1.912 1.828 1.799 1.767 1.769 1.806 1.588 1.808 1.499 1.718 1.606 1.814 1.865 1.661 1.813 1.640 1.837 1.875 1.815 1.753 g/cm3.
Electronic total energy, respectively: -2.90 -2.16 -1.81 -2.06 -2.18 -1.78 -1.88 -2.86 -2.84 -3.04 -1.57 -2.69 -3.03 -2.75 -1.80 -2.09 -1.89 -2.79 -1.93 -1.98 eV per atom.
Size of the total moment, respectively: 0.00 0.00 0.00 0.00 0.00 0.00 0.00 0.00 0.00 0.00 0.00 0.00 0.00 0.00 0.00 0.00 0.00 0.00 0.00 0.00 μB/cell.